(1)
Computed, not measured: a relaxed structure of FeP5O15 at the PBEsol level of DFT.

a b c (Å): 5.1097 13.6785 8.7838
angles (deg): 90.00 105.63 90.00
With the nearest neighbours (Å) after each atom.
Space group P2_1/m (No. 11)
Unique sites:
Fe  0.0000  0.0000  0.0000 (multiplicity 2)  6 O 1.90-2.06
P  0.0576  0.2500  0.5161 (multiplicity 2)  4 O 1.49-1.64
P  0.0935  0.5767  0.6744 (multiplicity 4)  4 O 1.51-1.61
P  0.4852  0.6408  0.9683 (multiplicity 4)  4 O 1.49-1.60
O  0.0395  0.0193  0.2196 (multiplicity 4)  1 P 1.51
O  0.1081  0.1616  0.4015 (multiplicity 4)  2 P 1.58-1.64
O  0.2068  0.5206  0.5564 (multiplicity 4)  1 P 1.52
O  0.2149  0.1267  0.9957 (multiplicity 4)  1 P 1.49
O  0.2319  0.7500  0.4772 (multiplicity 2)  1 P 1.50
O  0.2732  0.2500  0.6686 (multiplicity 2)  1 P 1.49
O  0.3305  0.5753  0.0526 (multiplicity 4)  1 P 1.51
O  0.3569  0.6319  0.7808 (multiplicity 4)  2 P 1.60-1.61
O  0.4101  0.7500  0.0016 (multiplicity 2)  2 P 1.59

Summary:
As for the density: 2.532 Mg/m³. As for the magnetic moment: 12.4 μB/cell. Its density of states at the Fermi level is 6.4 states/eV/f.u. The calculation puts the formation energy without anion corrections at -1758 meV per atom. The total energy is -7.313 eV per atom.

***

(2)
Computed, not measured: a relaxed structure of MgMo2O4 at the PBEsol level of DFT.

a b c (Å): 5.7623 5.7728 16.0931
angles (deg): 90.42 91.52 119.89
With the nearest neighbours (Å) after each atom.
Space group P1 (No. 1)
Unique sites:
Mg  0.0000  0.0000  0.0000 (multiplicity 1)  4 O 1.93-1.97
Mg  0.0357  0.0723  0.3562 (multiplicity 1)  4 O 1.99-2.11
Mg  0.2939  0.6327  0.7052 (multiplicity 1)  6 O 2.06-2.15
Mg  0.3893  0.7667  0.0722 (multiplicity 1)  4 O 1.82-1.84
Mg  0.6337  0.3969  0.3884 (multiplicity 1)  3 O 1.88-2.09
Mg  0.9633  0.9674  0.7465 (multiplicity 1)  4 O 1.95-1.99
Mo  0.0195  0.4959  0.8798 (multiplicity 1)  6 O 1.99-2.18
Mo  0.0735  0.2784  0.5382 (multiplicity 1)  6 O 2.06-2.18
Mo  0.1550  0.8610  0.5455 (multiplicity 1)  6 O 2.06-2.15
Mo  0.3759  0.2574  0.1969 (multiplicity 1)  6 O 2.02-2.14
Mo  0.4287  0.7719  0.3495 (multiplicity 1)  4 O 2.02-2.24
Mo  0.4582  0.4956  0.8797 (multiplicity 1)  6 O 1.99-2.18
Mo  0.4585  0.9349  0.8806 (multiplicity 1)  6 O 2.03-2.16
Mo  0.6020  0.8448  0.5426 (multiplicity 1)  6 O 2.05-2.14
Mo  0.6222  0.2930  0.5506 (multiplicity 1)  6 O 2.05-2.21
Mo  0.6829  0.3585  0.0614 (multiplicity 1)  6 O 2.02-2.21
Mo  0.8560  0.6840  0.1946 (multiplicity 1)  6 O 2.02-2.15
Mo  0.9081  0.2599  0.1957 (multiplicity 1)  6 O 2.02-2.13
O  0.0265  0.0385  0.1222 (multiplicity 1)  1 Mg 1.97, 3 Mo 2.10-2.15
O  0.0535  0.5747  0.1154 (multiplicity 1)  1 Mg 1.84, 3 Mo 2.02-2.06
O  0.1489  0.7878  0.7927 (multiplicity 1)  2 Mg 1.96-2.07, 2 Mo 2.05-2.06
O  0.1517  0.3340  0.7909 (multiplicity 1)  2 Mg 1.95-2.06, 2 Mo 2.06
O  0.1962  0.9213  0.2766 (multiplicity 1)  1 Mg 2.03, 3 Mo 2.14-2.24
O  0.2284  0.4209  0.2856 (multiplicity 1)  3 Mo 2.02-2.12, 1 Mg 2.11
O  0.2519  0.6356  0.4664 (multiplicity 1)  4 Mo 2.09-2.15
O  0.2928  0.1689  0.4569 (multiplicity 1)  2 Mg 2.04-2.09, 3 Mo 2.12-2.21
O  0.3175  0.6401  0.9653 (multiplicity 1)  1 Mg 1.82, 3 Mo 1.99-2.03
O  0.3634  0.1682  0.9640 (multiplicity 1)  1 Mg 1.93
O  0.4368  0.4866  0.6084 (multiplicity 1)  3 Mo 2.10-2.12, 1 Mg 2.14
O  0.4616  0.9889  0.6336 (multiplicity 1)  3 Mo 2.05-2.06, 1 Mg 2.15
O  0.5342  0.0512  0.1444 (multiplicity 1)  1 Mg 1.82, 2 Mo 2.02
O  0.5365  0.5728  0.1159 (multiplicity 1)  1 Mg 1.84, 2 Mo 2.02
O  0.6059  0.7858  0.7923 (multiplicity 1)  2 Mg 1.96-2.06, 2 Mo 2.05-2.06
O  0.6392  0.3042  0.8260 (multiplicity 1)  3 Mo 2.06-2.07
O  0.7134  0.3806  0.2771 (multiplicity 1)  1 Mg 1.88, 2 Mo 2.04-2.07
O  0.7408  0.9122  0.2696 (multiplicity 1)  1 Mg 1.99, 3 Mo 2.06-2.13
O  0.7421  0.1331  0.4465 (multiplicity 1)  1 Mg 2.13, 3 Mo 2.14-2.19
O  0.7850  0.6523  0.4821 (multiplicity 1)  1 Mg 1.96, 3 Mo 2.08-2.13
O  0.7997  0.1683  0.9637 (multiplicity 1)  1 Mg 1.93
O  0.8104  0.6267  0.9592 (multiplicity 1)  1 Mg 1.97, 3 Mo 2.15-2.16
O  0.9401  0.9771  0.6234 (multiplicity 1)  1 Mg 1.99, 3 Mo 2.06-2.11
O  0.9801  0.5040  0.6172 (multiplicity 1)  3 Mo 2.06-2.15, 1 Mg 2.08

Summary:
As for the density: 6.019 Mg/m³. As for the magnetic moment: 4.0 μB/cell. Its density of states at the Fermi level is 0.0 states/eV/f.u. The calculation puts the formation energy without anion corrections at -1915 meV per atom. The total energy is -8.522 eV per atom.

***

(3)
Computed, not measured: a relaxed structure of CrMoCl2 at the PBEsol level of DFT.

a b c (Å): 3.0262 3.0262 24.4575
angles (deg): 90.00 90.00 120.00
With the nearest neighbours (Å) after each atom.
Space group R-3m (No. 166, hexagonal axes)
Unique sites:
Cr  0.0000  0.0000  0.0000 (multiplicity 3)  2 Cl 2.31
Mo  0.0000  0.0000  0.5000 (multiplicity 3)  6 Cl 2.48
Cl  0.0000  0.0000  0.0946 (multiplicity 6)  1 Cr 2.31, 3 Mo 2.48

Summary:
As for the density: 5.620 Mg/m³. As for the magnetic moment: 10.5 μB/cell. Its density of states at the Fermi level is 3.3 states/eV/f.u. The calculation puts the formation energy without anion corrections at 274 meV per atom. The total energy is -6.232 eV per atom.

***

(4)
Computed, not measured: a relaxed structure of LaZn2Co at the PBEsol level of DFT.

a b c (Å): 4.2276 4.2276 14.5462
angles (deg): 90.00 90.00 120.00
With the nearest neighbours (Å) after each atom.
Space group R3m (No. 160, hexagonal axes)
Unique sites:
La  0.0000  0.0000  0.0000 (multiplicity 3)  1 Co 2.70, 1 Zn 2.91
Zn  0.0000  0.0000  0.5152 (multiplicity 3)  3 Co 2.44, 3 Zn 2.54
Zn  0.0000  0.0000  0.7999 (multiplicity 3)  3 Zn 2.54, 3 Co 2.56
Co  0.0000  0.0000  0.1856 (multiplicity 3)  6 Zn 2.44-2.56, 1 La 2.70

Summary:
As for the density: 7.272 Mg/m³. As for the magnetic moment: 0.0 μB/cell. Its density of states at the Fermi level is 3.6 states/eV/f.u. The total energy is -4.234 eV per atom. Its formation enthalpy at 0 K is -17 kJ per mole of atoms.

***

(5)
Computed, not measured: a relaxed structure of NpCu2Ge2 at the PBEsol level of DFT.

a b c (Å): 3.9751 3.9751 10.2446
angles (deg): 90.00 90.00 90.00
With the nearest neighbours (Å) after each atom.
Space group I4/mmm (No. 139)
Unique sites:
Np  0.0000  0.0000  0.0000 (multiplicity 2)  8 Ge 3.06, 8 Cu 3.24
Cu  0.0000  0.5000  0.2500 (multiplicity 4)  4 Ge 2.40
Ge  0.0000  0.0000  0.3807 (multiplicity 4)  4 Cu 2.40, 1 Ge 2.44

Summary:
As for the density: 10.450 Mg/m³. As for the magnetic moment: 7.7 μB/cell. Its density of states at the Fermi level is 9.1 states/eV/f.u. The total energy is -6.587 eV per atom. Its formation enthalpy at 0 K is -10 kJ per mole of atoms.

***

(6)
Computed, not measured: a relaxed structure of Li2ZnAs at the PBEsol level of DFT.

a b c (Å): 6.3016 6.3016 6.3016
angles (deg): 90.00 90.00 90.00
With the nearest neighbours (Å) after each atom.
Space group F-43m (No. 216)
Unique sites:
Li  0.0000  0.0000  0.0000 (multiplicity 4)  4 Li 2.73, 4 As 2.73
Li  0.2500  0.2500  0.2500 (multiplicity 4)  4 Zn 2.73, 4 Li 2.73
Zn  0.0000  0.0000  0.5000 (multiplicity 4)  4 As 2.73, 4 Li 2.73
As  0.2500  0.2500  0.7500 (multiplicity 4)  4 Li 2.73, 4 Zn 2.73

Summary:
As for the density: 4.093 Mg/m³. As for the magnetic moment: 0.0 μB/cell. Its density of states at the Fermi level is 2.4 states/eV/f.u. The total energy is -2.940 eV per atom. Its formation enthalpy at 0 K is -27 kJ per mole of atoms.

***

(7)
Computed, not measured: a relaxed structure of InHgI2O at the PBEsol level of DFT.

a b c (Å): 5.9416 5.9416 3.9250
angles (deg): 90.00 90.00 90.00
With the nearest neighbours (Å) after each atom.
Space group P4/mmm (No. 123)
Unique sites:
In  0.0000  0.0000  0.0000 (multiplicity 1)  2 O 1.96
Hg  0.5000  0.5000  0.5000 (multiplicity 1)  8 I 3.56, 2 Hg 3.93
I  0.0000  0.5000  0.0000 (multiplicity 2)  2 In 2.97
O  0.0000  0.0000  0.5000 (multiplicity 1)  2 In 1.96

Summary:
As for the density: 7.013 Mg/m³. As for the magnetic moment: 0.0 μB/cell. Its density of states at the Fermi level is 2.4 states/eV/f.u. The calculation puts the formation energy without anion corrections at -306 meV per atom. The total energy is -2.773 eV per atom.

***

(8)
Computed, not measured: a relaxed structure of CeSCl at the PBEsol level of DFT.

a b c (Å): 6.7413 13.2735 6.8598
angles (deg): 90.00 90.00 90.00
With the nearest neighbours (Å) after each atom.
Space group Pbca (No. 61)
Unique sites:
Ce  0.2438  0.0979  0.0389 (multiplicity 8)  4 S 2.76-2.78, 3 Cl 2.89-2.98
S  0.0012  0.0269  0.7431 (multiplicity 8)  4 Ce 2.76-2.78
Cl  0.1251  0.7132  0.3746 (multiplicity 8)  3 Ce 2.89-2.98

Summary:
As for the density: 4.494 Mg/m³. As for the magnetic moment: 8.0 μB/cell. Its density of states at the Fermi level is 7.6 states/eV/f.u. The calculation puts the formation energy without anion corrections at -2037 meV per atom. The total energy is -6.366 eV per atom.